## Rb3In2FeO6 (GGA+U)

Data for a relaxed Rb3In2FeO6 crystal.

Cell and atoms, written as POSCAR:
```
Rb3In2FeO6
1.0
2.8850 -4.9943 0.0000
2.8850 4.9943 0.0000
-1.9197 0.0000 6.4248
Rb In Fe O
3 2 1 6
direct
0.0000 0.0000 0.0000
0.3329 0.6671 0.0000
0.6671 0.3329 0.0000
0.1667 0.8333 0.5000
0.8333 0.1667 0.5000
0.5000 0.5000 0.5000
0.1261 0.4427 0.3284
0.2403 0.2403 0.6724
0.4427 0.1261 0.3284
0.5573 0.8739 0.6716
0.7597 0.7597 0.3276
0.8739 0.5573 0.6716
```

Calculated values
Symmetry   C2/m, No. 12
VASP energy   -5.076 eV/atom

## Rb2InFeO4 (GGA+U)

Data for a relaxed Rb2InFeO4 crystal.

Cell and atoms, written as POSCAR:
```
Rb2InFeO4
1.0
0.0000 6.3273 10.5284
2.7599 0.0000 10.5284
2.7599 6.3273 0.0000
Rb In Fe O
4 2 2 8
direct
0.0557 0.0557 0.6943
0.3057 0.3057 0.9443
0.6943 0.6943 0.0557
0.9443 0.9443 0.3057
0.1250 0.1250 0.1250
0.8750 0.8750 0.8750
0.3750 0.3750 0.3750
0.6250 0.6250 0.6250
0.0118 0.6504 0.5597
0.2781 0.5597 0.6504
0.3496 0.9882 0.7219
0.4403 0.7219 0.9882
0.5597 0.2781 0.0118
0.6504 0.0118 0.2781
0.7219 0.4403 0.3496
0.9882 0.3496 0.4403
```

Calculated values
Symmetry   Fddd, No. 70
VASP energy   -5.076 eV/atom